The following is a DFT calculation (PBE-GGA) of Li2BeAl after structural relaxation.

Values from the calculation:
D(E_F): 1.0 states/eV per cell
Polymorph energy (0 for the lowest one): 178 meV per atom
ΔH_f (0 K): 14.1 kJ/mol of atoms

POSCAR file:
```
Li2BeAl
1.0
-1.925 -1.029 1.422
2.146 -1.328 0.648
1.602 5.633 6.243
Al Be Li
1 1 2
Direct
0.500 0.500 0.250
0.500 0.500 0.750
0.000 0.000 0.983
0.000 0.000 0.517
```